Compound: AlAsIrBr2
Source: Alexandria via LeMat-Bulk
Functional: PBE-GGA
Structure: relaxed

The structure in POSCAR format:
```
AlAsIrBr2
1.0
4.776 0.000 0.000
0.000 4.776 0.000
0.000 0.000 5.224
Al As Ir Br
1 1 1 2
direct
0.000 0.000 0.000 Al
0.000 0.000 0.500 As
0.500 0.500 0.500 Ir
0.000 0.500 0.000 Br
0.500 0.000 0.000 Br
```

Calculated values
Polymorph energy (0 for the lowest one) (eV per atom): 0.5870
Electronic total energy (eV per atom): -3.207
Magnetization (μB/cell): 1.79
Space group: P4/mmm, No. 123
ΔE_f (raw) (eV per atom): 0.913